Entry 1:
# BeSbMo GGA-PBE relaxed
data_BeSbMo
_chemical_formula_sum 'Be4 Sb4 Mo4'
_cell_length_a 6.138
_cell_length_b 6.138
_cell_length_c 6.138
_cell_angle_alpha 90.00
_cell_angle_beta 90.00
_cell_angle_gamma 90.00
_space_group_name_H-M_alt 'F -4 3 m'
_space_group_IT_number 216
_space_group_name_Hall 'F -4 2 3'
loop_
_atom_site_label
_atom_site_fract_x
_atom_site_fract_y
_atom_site_fract_z
Be1 0.000 0.000 0.000
Sb1 0.000 0.000 0.500
Mo1 0.250 0.250 0.750
# E = -5.50 eV/atom
# Offset from the most stable computed form = 566 meV per atom
# ρ = 6.51 g/cm3
# Uncorrected formation energy = 0.73 eV/atom

Entry 2:
# K3Ba GGA-PBE relaxed
data_K3Ba
_chemical_formula_sum 'K3 Ba1'
_cell_length_a 4.839
_cell_length_b 7.630
_cell_length_c 7.633
_cell_angle_alpha 90.00
_cell_angle_beta 90.00
_cell_angle_gamma 90.00
_space_group_name_H-M_alt 'P m m 2'
_space_group_IT_number 25
_space_group_name_Hall 'P 2 -2'
loop_
_atom_site_label
_atom_site_fract_x
_atom_site_fract_y
_atom_site_fract_z
K1 0.000 0.000 0.000
K2 0.000 0.500 0.497
K3 0.500 0.000 0.500
Ba1 0.500 0.500 0.997
# E = -1.21 eV/atom
# Formation energy from the elements = 0.094 eV/atom
# ρ = 1.50 g/cm3